(1)
Here is crystalline Li4IN at its relaxed geometry from the Alexandria database. Energies are from PBE-GGA.

a = 7.9134 Å, b = 7.9134 Å, c = 5.7864 Å
α = 90.88°, β = 90.88°, γ = 45.81°
Element x y z (fractional)
Li 0.1059 0.7561 0.4369
Li 0.1595 0.1595 0.1670
Li 0.1791 0.8209 0.0000
Li 0.2439 0.8941 0.5631
Li 0.7561 0.1059 0.4369
Li 0.8209 0.1791 0.0000
Li 0.8405 0.8405 0.8330
Li 0.8941 0.2439 0.5631
I 0.3478 0.3478 0.1775
I 0.6522 0.6522 0.8225
N 0.0390 0.0390 0.2734
N 0.9610 0.9610 0.7266

## Properties
- symmetry = C2/m, No. 12
- offset from the most stable computed form (eV per atom) = 0.132
- ρ (g cm⁻³) = 2.2
- ΔE_f (raw) (meV per atom) = -503
- total energy (eV/cell) = -41.10

=====

(2)
Here is crystalline KThSb2 at its relaxed geometry from the Alexandria database. Energies are from PBE-GGA.

a = 8.6451 Å, b = 8.6451 Å, c = 8.6451 Å
α = 31.34°, β = 31.34°, γ = 31.34°
Element x y z (fractional)
K 0.0000 0.0000 0.0000
Th 0.5000 0.5000 0.5000
Sb 0.2348 0.2348 0.2348
Sb 0.7652 0.7652 0.7652

## Properties
- symmetry = R-3m, No. 166
- offset from the most stable computed form (eV per atom) = 0.025
- ρ (g cm⁻³) = 5.5
- ΔE_f (raw) (meV per atom) = -545
- N(E_F) (states/eV per atom) = 1.258
- total energy (eV/cell) = -18.94

=====

(3)
Here is crystalline AlCu3Pb at its relaxed geometry from the Alexandria database. Energies are from PBE-GGA.

a = 4.6134 Å, b = 4.6134 Å, c = 4.6134 Å
α = 90.00°, β = 90.00°, γ = 90.00°
Element x y z (fractional)
Al 0.0000 0.0000 0.0000
Cu 0.0000 0.0000 0.5000
Cu 0.0000 0.5000 0.0000
Cu 0.5000 0.0000 0.0000
Pb 0.5000 0.5000 0.5000

## Properties
- energy of formation from the pure elements (kJ/mol of formula units) = 217
- symmetry = Pm-3m, No. 221
- offset from the most stable computed form (eV per atom) = 0.000
- ρ (g cm⁻³) = 7.2
- N(E_F) (states/eV per atom) = 0.301
- total energy (eV/cell) = -17.49

=====

(4)
Here is crystalline LaFe2Pb at its relaxed geometry from the Alexandria database. Energies are from PBE-GGA.

a = 3.6159 Å, b = 3.6159 Å, c = 6.6093 Å
α = 90.00°, β = 90.00°, γ = 90.00°
Element x y z (fractional)
La 0.0000 0.0000 0.0000
Fe 0.5000 0.5000 0.3152
Fe 0.5000 0.5000 0.6848
Pb 0.0000 0.0000 0.5000

## Properties
- energy of formation from the pure elements (kJ/mol of formula units) = 144
- symmetry = P4/mmm, No. 123
- ρ (g cm⁻³) = 8.8
- N(E_F) (states/eV per atom) = 1.160
- total energy (eV/cell) = -24.07

=====

Q: What is the ρ in the second record?
A: 5.5 g cm⁻³

=====

Q: Which value of total energy does entry 2 give?
A: -18.94 eV/cell